DFT (GGA+U) results for crystalline Na2TiCrO4 at its relaxed geometry.

Unit cell a=3.025 b=5.256 c=5.724 alpha=107.75 beta=90.00 gamma=90.00
Positions (direct):
O 0.000 0.262 0.794
O 0.500 0.232 0.201
Cr 0.000 0.000 0.000
Na 0.500 0.000 0.500
Ti 0.500 0.500 0.000
O 0.500 0.768 0.799
O 0.000 0.738 0.206
Na 0.000 0.500 0.500

Summary:
Density of states at the Fermi level   0.324 states/eV/atom
SG   P2/m (10)

DFT (GGA+U) results for crystalline NaTiCr2O6 at its relaxed geometry.

Unit cell a=5.131 b=5.115 c=5.553 alpha=61.71 beta=62.30 gamma=60.73
Positions (direct):
O 0.609 0.250 0.222
Cr 0.511 0.517 0.452
Ti 0.311 0.317 0.067
O 0.730 0.169 0.757
Cr 0.008 0.015 0.955
O 0.253 0.917 0.219
O 0.352 0.724 0.754
O 0.921 0.613 0.221
Na 0.798 0.796 0.612
O 0.168 0.344 0.756

Summary:
SG   P1 (1)

DFT (GGA+U) results for crystalline NaTiCrO4 at its relaxed geometry.

Unit cell a=6.253 b=6.145 c=6.102 alpha=119.77 beta=90.00 gamma=120.58
Positions (direct):
O 0.721 0.026 0.263
Na 0.876 0.753 0.126
O 0.273 0.546 0.737
O 0.695 0.974 0.737
O 0.727 0.454 0.691
Ti 0.500 0.000 0.000
O 0.279 0.974 0.737
Cr 0.000 0.500 0.500
O 0.273 0.546 0.309
O 0.727 0.454 0.263
Cr 0.500 0.500 0.500
O 0.305 0.026 0.263
Ti 0.500 0.000 0.500
Na 0.124 0.247 0.874

Summary:
Density of states at the Fermi level   0.000 states/eV/atom
SG   Imma (74)

DFT (GGA+U) results for crystalline NaTiCr2O8 at its relaxed geometry.

Unit cell a=5.684 b=5.684 c=5.684 alpha=106.37 beta=106.37 gamma=115.87
Positions (direct):
Cr 0.500 0.500 0.000
O 0.804 0.091 0.713
Ti 0.000 0.000 0.000
O 0.864 0.680 0.184
O 0.909 0.196 0.287
O 0.378 0.091 0.287
O 0.320 0.136 0.816
Cr 0.750 0.250 0.500
Na 0.250 0.750 0.500
O 0.909 0.622 0.713
O 0.496 0.680 0.816
O 0.320 0.504 0.184

Summary:
Density of states at the Fermi level   0.199 states/eV/atom
SG   I-4m2 (119)

Here are the calculated total magnetic moment numbers, same order: 2.0, 5.0, 3.0, 1.0 (μB per formula unit).
Here are the calculated volume numbers, same order: 10.8, 10.7, 11.8, 11.7 (Å³/atom).
Here are the calculated uncorrected energy numbers, same order: -0.253, -0.276, -0.279, -0.254 (Ha/atom).